No. 1
# La2TmSb4Rh3

La2TmSb4Rh3 after structural relaxation (PBE, Alexandria via LeMat-Bulk).

Calculated values
E_form (uncorrected) ... -20.30 kcal/mol of atoms
E_tot ... -6.167 eV/atom

Structure (CIF):
```
data_La2TmSb4Rh3
_chemical_formula_sum 'La2 Tm1 Sb4 Rh3'
_cell_length_a 4.551
_cell_length_b 4.551
_cell_length_c 11.568
_cell_angle_alpha 90.00
_cell_angle_beta 90.00
_cell_angle_gamma 90.00
_space_group_name_H-M_alt 'P -4 m 2'
_space_group_IT_number 115
_space_group_name_Hall 'P -4 -2'
loop_
_atom_site_label
_atom_site_type_symbol
_atom_site_fract_x
_atom_site_fract_y
_atom_site_fract_z
La1 La 0.000 0.500 0.228
Tm1 Tm 0.000 0.000 0.500
Sb1 Sb 0.000 0.000 0.000
Sb2 Sb 0.000 0.500 0.658
Sb3 Sb 0.500 0.500 0.000
Rh1 Rh 0.000 0.500 0.885
Rh2 Rh 0.500 0.500 0.500
```

No. 2
# LaTmSb2Rh5

LaTmSb2Rh5 after structural relaxation (PBE, Alexandria via LeMat-Bulk).

Calculated values
E_form (uncorrected) ... -11.61 kcal/mol of atoms
E_tot ... -6.548 eV/atom

Structure (CIF):
```
data_LaTmSb2Rh5
_chemical_formula_sum 'La1 Tm1 Sb2 Rh5'
_cell_length_a 4.499
_cell_length_b 4.499
_cell_length_c 8.937
_cell_angle_alpha 90.00
_cell_angle_beta 90.00
_cell_angle_gamma 90.00
_space_group_name_H-M_alt 'P 4/m m m'
_space_group_IT_number 123
_space_group_name_Hall '-P 4 2'
loop_
_atom_site_label
_atom_site_type_symbol
_atom_site_fract_x
_atom_site_fract_y
_atom_site_fract_z
La1 La 0.000 0.000 0.000
Tm1 Tm 0.000 0.000 0.500
Sb1 Sb 0.500 0.500 0.344
Rh1 Rh 0.000 0.500 0.222
Rh2 Rh 0.500 0.500 0.000
```

No. 3
# La2YSb3Rh4

La2YSb3Rh4 after structural relaxation (PBE, Alexandria via LeMat-Bulk).

Calculated values
E_form (uncorrected) ... -20.82 kcal/mol of atoms
E_tot ... -6.712 eV/atom

Structure (CIF):
```
data_La2YSb3Rh4
_chemical_formula_sum 'La2 Y1 Sb3 Rh4'
_cell_length_a 4.454
_cell_length_b 4.454
_cell_length_c 11.390
_cell_angle_alpha 90.00
_cell_angle_beta 90.00
_cell_angle_gamma 90.00
_space_group_name_H-M_alt 'P -4 m 2'
_space_group_IT_number 115
_space_group_name_Hall 'P -4 -2'
loop_
_atom_site_label
_atom_site_type_symbol
_atom_site_fract_x
_atom_site_fract_y
_atom_site_fract_z
La1 La 0.000 0.500 0.230
Y1 Y 0.000 0.000 0.500
Sb1 Sb 0.000 0.500 0.872
Sb2 Sb 0.500 0.500 0.500
Rh1 Rh 0.000 0.000 0.000
Rh2 Rh 0.000 0.500 0.645
Rh3 Rh 0.500 0.500 0.000
```

No. 4
# LaYSb2Rh5

LaYSb2Rh5 after structural relaxation (PBE, Alexandria via LeMat-Bulk).

Calculated values
E_form (uncorrected) ... -12.26 kcal/mol of atoms
E_tot ... -6.797 eV/atom

Structure (CIF):
```
data_LaYSb2Rh5
_chemical_formula_sum 'La1 Y1 Sb2 Rh5'
_cell_length_a 4.491
_cell_length_b 4.491
_cell_length_c 9.010
_cell_angle_alpha 90.00
_cell_angle_beta 90.00
_cell_angle_gamma 90.00
_space_group_name_H-M_alt 'P 4/m m m'
_space_group_IT_number 123
_space_group_name_Hall '-P 4 2'
loop_
_atom_site_label
_atom_site_type_symbol
_atom_site_fract_x
_atom_site_fract_y
_atom_site_fract_z
La1 La 0.000 0.000 0.000
Y1 Y 0.000 0.000 0.500
Sb1 Sb 0.500 0.500 0.343
Rh1 Rh 0.000 0.500 0.220
Rh2 Rh 0.500 0.500 0.000
```

No. 5
# La2ZnSbRh

La2ZnSbRh after structural relaxation (PBE, Alexandria via LeMat-Bulk).

Calculated values
E_form (uncorrected) ... -16.71 kcal/mol of atoms
E_tot ... -5.245 eV/atom

Structure (CIF):
```
data_La2ZnSbRh
_chemical_formula_sum 'La2 Zn1 Sb1 Rh1'
_cell_length_a 5.458
_cell_length_b 5.458
_cell_length_c 4.825
_cell_angle_alpha 90.00
_cell_angle_beta 90.00
_cell_angle_gamma 90.00
_space_group_name_H-M_alt 'P 4/m m m'
_space_group_IT_number 123
_space_group_name_Hall '-P 4 2'
loop_
_atom_site_label
_atom_site_type_symbol
_atom_site_fract_x
_atom_site_fract_y
_atom_site_fract_z
La1 La 0.000 0.500 0.000
Zn1 Zn 0.000 0.000 0.500
Sb1 Sb 0.500 0.500 0.500
Rh1 Rh 0.000 0.000 0.000
```

No. 6
# La2ZnSb4Rh3

La2ZnSb4Rh3 after structural relaxation (PBE, Alexandria via LeMat-Bulk).

Calculated values
E_form (uncorrected) ... -17.96 kcal/mol of atoms
E_tot ... -5.746 eV/atom

Structure (CIF):
```
data_La2ZnSb4Rh3
_chemical_formula_sum 'La2 Zn1 Sb4 Rh3'
_cell_length_a 4.592
_cell_length_b 4.592
_cell_length_c 10.661
_cell_angle_alpha 90.00
_cell_angle_beta 90.00
_cell_angle_gamma 90.00
_space_group_name_H-M_alt 'P -4 m 2'
_space_group_IT_number 115
_space_group_name_Hall 'P -4 -2'
loop_
_atom_site_label
_atom_site_type_symbol
_atom_site_fract_x
_atom_site_fract_y
_atom_site_fract_z
La1 La 0.000 0.500 0.249
Zn1 Zn 0.000 0.000 0.500
Sb1 Sb 0.000 0.000 0.000
Sb2 Sb 0.000 0.500 0.636
Sb3 Sb 0.500 0.500 0.000
Rh1 Rh 0.000 0.500 0.879
Rh2 Rh 0.500 0.500 0.500
```

No. 7
# La2ZnSb3Rh4

La2ZnSb3Rh4 after structural relaxation (PBE, Alexandria via LeMat-Bulk).

Calculated values
E_form (uncorrected) ... -19.29 kcal/mol of atoms
E_tot ... -6.127 eV/atom

Structure (CIF):
```
data_La2ZnSb3Rh4
_chemical_formula_sum 'La2 Zn1 Sb3 Rh4'
_cell_length_a 4.450
_cell_length_b 4.450
_cell_length_c 10.721
_cell_angle_alpha 90.00
_cell_angle_beta 90.00
_cell_angle_gamma 90.00
_space_group_name_H-M_alt 'P -4 m 2'
_space_group_IT_number 115
_space_group_name_Hall 'P -4 -2'
loop_
_atom_site_label
_atom_site_type_symbol
_atom_site_fract_x
_atom_site_fract_y
_atom_site_fract_z
La1 La 0.000 0.500 0.243
Zn1 Zn 0.500 0.500 0.000
Sb1 Sb 0.000 0.000 0.000
Sb2 Sb 0.000 0.500 0.635
Rh1 Rh 0.000 0.000 0.500
Rh2 Rh 0.000 0.500 0.875
Rh3 Rh 0.500 0.500 0.500
```

No. 8
# La2ScRh

La2ScRh after structural relaxation (PBE, Alexandria via LeMat-Bulk).

Calculated values
Energy of formation ... -0.0746 eV/atom
Distance to the lowest polymorph of the same formula ... 0.285 eV/atom
E_tot ... -5.959 eV/atom

Structure (CIF):
```
data_La2ScRh
_chemical_formula_sum 'La4 Sc2 Rh2'
_cell_length_a 4.355
_cell_length_b 4.355
_cell_length_c 10.322
_cell_angle_alpha 90.00
_cell_angle_beta 90.00
_cell_angle_gamma 90.00
_space_group_name_H-M_alt 'I 4/m m m'
_space_group_IT_number 139
_space_group_name_Hall '-I 4 2'
loop_
_atom_site_label
_atom_site_type_symbol
_atom_site_fract_x
_atom_site_fract_y
_atom_site_fract_z
La1 La 0.000 0.500 0.250
Sc1 Sc 0.000 0.000 0.000
Rh1 Rh 0.000 0.000 0.500
```

No. 9
# LaScRh2

LaScRh2 after structural relaxation (PBE, Alexandria via LeMat-Bulk).

Calculated values
Energy of formation ... -0.7167 eV/atom
E_tot ... -7.207 eV/atom

Structure (CIF):
```
data_LaScRh2
_chemical_formula_sum 'La1 Sc1 Rh2'
_cell_length_a 4.803
_cell_length_b 4.803
_cell_length_c 3.479
_cell_angle_alpha 90.00
_cell_angle_beta 90.00
_cell_angle_gamma 90.00
_space_group_name_H-M_alt 'P 4 m m'
_space_group_IT_number 99
_space_group_name_Hall 'P 4 -2'
loop_
_atom_site_label
_atom_site_type_symbol
_atom_site_fract_x
_atom_site_fract_y
_atom_site_fract_z
La1 La 0.000 0.000 0.000
Sc1 Sc 0.500 0.500 0.998
Rh1 Rh 0.000 0.500 0.500
```

No. 10
# La2Sc3Rh2

La2Sc3Rh2 after structural relaxation (PBE, Alexandria via LeMat-Bulk).

Calculated values
Energy of formation ... -0.5507 eV/atom
E_tot ... -6.772 eV/atom

Structure (CIF):
```
data_La2Sc3Rh2
_chemical_formula_sum 'La4 Sc6 Rh4'
_cell_length_a 11.904
_cell_length_b 3.720
_cell_length_c 8.689
_cell_angle_alpha 90.00
_cell_angle_beta 117.44
_cell_angle_gamma 90.00
_space_group_name_H-M_alt 'C 1 2/m 1'
_space_group_IT_number 12
_space_group_name_Hall '-C 2y'
loop_
_atom_site_label
_atom_site_type_symbol
_atom_site_fract_x
_atom_site_fract_y
_atom_site_fract_z
La1 La 0.156 0.000 0.297
Sc1 Sc 0.000 0.500 0.500
Sc2 Sc 0.124 0.500 0.929
Rh1 Rh 0.164 0.000 0.741
```

No. 11
# La2ScRh

La2ScRh after structural relaxation (PBE, Alexandria via LeMat-Bulk).

Calculated values
Energy of formation ... -0.3594 eV/atom
Distance to the lowest polymorph of the same formula ... 0.000 eV/atom
E_tot ... -6.244 eV/atom

Structure (CIF):
```
data_La2ScRh
_chemical_formula_sum 'La2 Sc1 Rh1'
_cell_length_a 3.451
_cell_length_b 3.451
_cell_length_c 8.993
_cell_angle_alpha 90.00
_cell_angle_beta 90.00
_cell_angle_gamma 90.00
_space_group_name_H-M_alt 'P 4 m m'
_space_group_IT_number 99
_space_group_name_Hall 'P 4 -2'
loop_
_atom_site_label
_atom_site_type_symbol
_atom_site_fract_x
_atom_site_fract_y
_atom_site_fract_z
La1 La 0.000 0.000 0.000
La2 La 0.500 0.500 0.342
Sc1 Sc 0.500 0.500 0.708
Rh1 Rh 0.000 0.000 0.559
```

No. 12
# La2ScRh

La2ScRh after structural relaxation (PBE, Alexandria via LeMat-Bulk).

Calculated values
Energy of formation ... -0.0838 eV/atom
Distance to the lowest polymorph of the same formula ... 0.276 eV/atom
E_tot ... -5.968 eV/atom

Structure (CIF):
```
data_La2ScRh
_chemical_formula_sum 'La8 Sc4 Rh4'
_cell_length_a 7.458
_cell_length_b 7.458
_cell_length_c 7.458
_cell_angle_alpha 90.00
_cell_angle_beta 90.00
_cell_angle_gamma 90.00
_space_group_name_H-M_alt 'F m -3 m'
_space_group_IT_number 225
_space_group_name_Hall '-F 4 2 3'
loop_
_atom_site_label
_atom_site_type_symbol
_atom_site_fract_x
_atom_site_fract_y
_atom_site_fract_z
La1 La 0.250 0.250 0.250
Sc1 Sc 0.000 0.000 0.000
Rh1 Rh 0.000 0.000 0.500
```

No. 13
# La2ScRh

La2ScRh after structural relaxation (PBE, Alexandria via LeMat-Bulk).

Calculated values
Energy of formation ... -0.1388 eV/atom
Distance to the lowest polymorph of the same formula ... 0.221 eV/atom
E_tot ... -6.023 eV/atom

Structure (CIF):
```
data_La2ScRh
_chemical_formula_sum 'La4 Sc2 Rh2'
_cell_length_a 4.295
_cell_length_b 4.295
_cell_length_c 11.070
_cell_angle_alpha 90.00
_cell_angle_beta 90.00
_cell_angle_gamma 90.00
_space_group_name_H-M_alt 'I -4 m 2'
_space_group_IT_number 119
_space_group_name_Hall 'I -4 -2'
loop_
_atom_site_label
_atom_site_type_symbol
_atom_site_fract_x
_atom_site_fract_y
_atom_site_fract_z
La1 La 0.000 0.000 0.000
La2 La 0.000 0.500 0.250
Sc1 Sc 0.000 0.000 0.500
Rh1 Rh 0.000 0.500 0.750
```

No. 14
# LaScRh

LaScRh after structural relaxation (PBE, Alexandria via LeMat-Bulk).

Calculated values
Energy of formation ... -0.4509 eV/atom
Distance to the lowest polymorph of the same formula ... 0.188 eV/atom
E_tot ... -6.654 eV/atom

Structure (CIF):
```
data_LaScRh
_chemical_formula_sum 'La4 Sc4 Rh4'
_cell_length_a 6.784
_cell_length_b 6.784
_cell_length_c 6.784
_cell_angle_alpha 90.00
_cell_angle_beta 90.00
_cell_angle_gamma 90.00
_space_group_name_H-M_alt 'F -4 3 m'
_space_group_IT_number 216
_space_group_name_Hall 'F -4 2 3'
loop_
_atom_site_label
_atom_site_type_symbol
_atom_site_fract_x
_atom_site_fract_y
_atom_site_fract_z
La1 La 0.000 0.000 0.000
Sc1 Sc 0.000 0.000 0.500
Rh1 Rh 0.250 0.250 0.750
```

No. 15
# LaSc3Rh

LaSc3Rh after structural relaxation (PBE, Alexandria via LeMat-Bulk).

Calculated values
Energy of formation ... -0.3107 eV/atom
Distance to the lowest polymorph of the same formula ... 0.000 eV/atom
E_tot ... -6.565 eV/atom

Structure (CIF):
```
data_LaSc3Rh
_chemical_formula_sum 'La1 Sc3 Rh1'
_cell_length_a 5.111
_cell_length_b 5.111
_cell_length_c 5.111
_cell_angle_alpha 90.00
_cell_angle_beta 90.00
_cell_angle_gamma 90.00
_space_group_name_H-M_alt 'P m -3 m'
_space_group_IT_number 221
_space_group_name_Hall '-P 4 2 3'
loop_
_atom_site_label
_atom_site_type_symbol
_atom_site_fract_x
_atom_site_fract_y
_atom_site_fract_z
La1 La 0.000 0.000 0.000
Sc1 Sc 0.000 0.500 0.500
Rh1 Rh 0.500 0.500 0.500
```

No. 16
# La3ScRh

La3ScRh after structural relaxation (PBE, Alexandria via LeMat-Bulk).

Calculated values
Energy of formation ... -0.1135 eV/atom
Distance to the lowest polymorph of the same formula ... 0.000 eV/atom
E_tot ... -5.807 eV/atom

Structure (CIF):
```
data_La3ScRh
_chemical_formula_sum 'La3 Sc1 Rh1'
_cell_length_a 5.591
_cell_length_b 5.591
_cell_length_c 5.591
_cell_angle_alpha 90.00
_cell_angle_beta 90.00
_cell_angle_gamma 90.00
_space_group_name_H-M_alt 'P m -3 m'
_space_group_IT_number 221
_space_group_name_Hall '-P 4 2 3'
loop_
_atom_site_label
_atom_site_type_symbol
_atom_site_fract_x
_atom_site_fract_y
_atom_site_fract_z
La1 La 0.000 0.000 0.500
Sc1 Sc 0.500 0.500 0.500
Rh1 Rh 0.000 0.000 0.000
```

No. 17
# La2ScRh

La2ScRh after structural relaxation (PBE, Alexandria via LeMat-Bulk).

Calculated values
Energy of formation ... -0.2858 eV/atom
Distance to the lowest polymorph of the same formula ... 0.074 eV/atom
E_tot ... -6.170 eV/atom

Structure (CIF):
```
data_La2ScRh
_chemical_formula_sum 'La2 Sc1 Rh1'
_cell_length_a 4.141
_cell_length_b 3.975
_cell_length_c 6.796
_cell_angle_alpha 90.00
_cell_angle_beta 100.84
_cell_angle_gamma 90.00
_space_group_name_H-M_alt 'P 1 2/m 1'
_space_group_IT_number 10
_space_group_name_Hall '-P 2y'
loop_
_atom_site_label
_atom_site_type_symbol
_atom_site_fract_x
_atom_site_fract_y
_atom_site_fract_z
La1 La 0.103 0.000 0.286
Sc1 Sc 0.500 0.500 0.000
Rh1 Rh 0.500 0.500 0.500
```

No. 18
# LaScRh

LaScRh after structural relaxation (PBE, Alexandria via LeMat-Bulk).

Calculated values
Energy of formation ... -0.4529 eV/atom
Distance to the lowest polymorph of the same formula ... 0.186 eV/atom
E_tot ... -6.656 eV/atom

Structure (CIF):
```
data_LaScRh
_chemical_formula_sum 'La1 Sc1 Rh1'
_cell_length_a 4.0522
_cell_length_b 4.0522
_cell_length_c 5.7969
_cell_angle_alpha 90.00
_cell_angle_beta 90.00
_cell_angle_gamma 120.00
_space_group_name_H-M_alt 'P 3 m 1'
_space_group_IT_number 156
_space_group_name_Hall 'P 3 -2"'
loop_
_atom_site_label
_atom_site_type_symbol
_atom_site_fract_x
_atom_site_fract_y
_atom_site_fract_z
La1 La 0.0000 0.0000 0.0000
Sc1 Sc 0.3333 0.6667 0.4891
Rh1 Rh 0.6667 0.3333 0.2915
```

No. 19
# LaScRh2

LaScRh2 after structural relaxation (PBE, Alexandria via LeMat-Bulk).

Calculated values
Energy of formation ... -0.7271 eV/atom
E_tot ... -7.218 eV/atom

Structure (CIF):
```
data_LaScRh2
_chemical_formula_sum 'La2 Sc2 Rh4'
_cell_length_a 4.358
_cell_length_b 3.629
_cell_length_c 10.520
_cell_angle_alpha 90.00
_cell_angle_beta 90.00
_cell_angle_gamma 90.00
_space_group_name_H-M_alt 'A m m 2'
_space_group_IT_number 38
_space_group_name_Hall 'A 2 -2'
loop_
_atom_site_label
_atom_site_type_symbol
_atom_site_fract_x
_atom_site_fract_y
_atom_site_fract_z
La1 La 0.000 0.000 0.000
Sc1 Sc 0.500 0.000 0.278
Rh1 Rh 0.000 0.000 0.741
Rh2 Rh 0.500 0.000 0.566
```

No. 20
# LaScRh2

LaScRh2 after structural relaxation (PBE, Alexandria via LeMat-Bulk).

Calculated values
Energy of formation ... -0.7750 eV/atom
E_tot ... -7.265 eV/atom

Structure (CIF):
```
data_LaScRh2
_chemical_formula_sum 'La1 Sc1 Rh2'
_cell_length_a 3.293
_cell_length_b 3.392
_cell_length_c 7.079
_cell_angle_alpha 90.00
_cell_angle_beta 90.00
_cell_angle_gamma 90.00
_space_group_name_H-M_alt 'P m m m'
_space_group_IT_number 47
_space_group_name_Hall '-P 2 2'
loop_
_atom_site_label
_atom_site_type_symbol
_atom_site_fract_x
_atom_site_fract_y
_atom_site_fract_z
La1 La 0.000 0.000 0.000
Sc1 Sc 0.000 0.000 0.500
Rh1 Rh 0.500 0.500 0.284
```